# LiAc2Bi3Pd4, relaxed, DFT PBE-GGA
data_LiAc2Bi3Pd4
_space_group_name_H-M_alt 'P -4 m 2'
_space_group_IT_number 115
_cell_length_a 4.796
_cell_length_b 4.796
_cell_length_c 10.800
_cell_angle_alpha 90.00
_cell_angle_beta 90.00
_cell_angle_gamma 90.00
loop_
_space_group_symop_operation_xyz
'x,y,z'
'y,-x,-z'
'-x,-y,z'
'-y,x,-z'
'-x,y,z'
'-y,-x,-z'
'x,-y,z'
'y,x,-z'
loop_
_atom_site_label
_atom_site_fract_x
_atom_site_fract_y
_atom_site_fract_z
Li1 0.000 0.000 0.000
Ac1 0.000 0.500 0.736
Bi1 0.000 0.500 0.366
Bi2 0.500 0.500 0.000
Pd1 0.000 0.000 0.500
Pd2 0.000 0.500 0.116
Pd3 0.500 0.500 0.500
# Volume (A^3/atom): 24.8
# Total magnetic moment (μB per atom): 0.000
# Calculated formation energy (eV/atom): -0.685
# D(E_F) (states/eV per cell): 4.73

# K2TaMn, relaxed, DFT PBE-GGA
data_K2TaMn
_space_group_name_H-M_alt 'F m -3 m'
_space_group_IT_number 225
_space_group_name_Hall '-F 4 2 3'
_cell_length_a 8.337
_cell_length_b 8.337
_cell_length_c 8.337
_cell_angle_alpha 90.00
_cell_angle_beta 90.00
_cell_angle_gamma 90.00
loop_
_atom_site_label
_atom_site_fract_x
_atom_site_fract_y
_atom_site_fract_z
K1 0.250 0.250 0.250
Ta1 0.000 0.000 0.000
Mn1 0.000 0.000 0.500
# Volume (A^3/atom): 36.2
# Total magnetic moment (μB per atom): 2.243
# Calculated formation energy (eV/atom): 2.000
# D(E_F) (states/eV per cell): 41.03
# ΔE to the lowest computed polymorph (meV/atom): 1264.3

# ScTeOs2, relaxed, DFT PBE-GGA
data_ScTeOs2
_space_group_name_H-M_alt 'P 4/m m m'
_space_group_IT_number 123
_space_group_name_Hall '-P 4 2'
_cell_length_a 4.475
_cell_length_b 4.475
_cell_length_c 3.390
_cell_angle_alpha 90.00
_cell_angle_beta 90.00
_cell_angle_gamma 90.00
loop_
_atom_site_label
_atom_site_fract_x
_atom_site_fract_y
_atom_site_fract_z
Sc1 0.000 0.000 0.000
Te1 0.500 0.500 0.000
Os1 0.000 0.500 0.500
# Volume (A^3/atom): 17.0
# Total magnetic moment (μB per atom): 0.000
# Raw formation energy (kJ per mole of atoms): 9.5
# D(E_F) (states/eV per cell): 1.34

# UP3Pd3, relaxed, DFT PBE-GGA
data_UP3Pd3
_space_group_name_H-M_alt 'R -3'
_space_group_IT_number 148
_space_group_name_Hall '-R 3'
_cell_length_a 6.8417
_cell_length_b 6.8417
_cell_length_c 19.1995
_cell_angle_alpha 90.00
_cell_angle_beta 90.00
_cell_angle_gamma 120.00
loop_
_atom_site_label
_atom_site_fract_x
_atom_site_fract_y
_atom_site_fract_z
U1 0.0000 0.0000 0.1686
P1 0.0015 0.6419 0.5831
Pd1 0.0052 0.3037 0.6203
# Volume (A^3/atom): 18.5
# Total magnetic moment (μB per atom): 0.182
# Calculated formation energy (eV/atom): -0.584
# D(E_F) (states/eV per cell): 40.94

# PmTm2Zn6, relaxed, DFT PBE-GGA
data_PmTm2Zn6
_space_group_name_H-M_alt 'P 6/m m m'
_space_group_IT_number 191
_space_group_name_Hall '-P 6 2'
_cell_length_a 7.7638
_cell_length_b 7.7638
_cell_length_c 3.4886
_cell_angle_alpha 90.00
_cell_angle_beta 90.00
_cell_angle_gamma 120.00
loop_
_atom_site_label
_atom_site_fract_x
_atom_site_fract_y
_atom_site_fract_z
Pm1 0.0000 0.0000 0.0000
Tm1 0.3333 0.6667 0.0000
Zn1 0.0000 0.3367 0.5000
# Volume (A^3/atom): 20.2
# Total magnetic moment (μB per atom): 0.000
# Calculated formation energy (eV/atom): -0.366
# D(E_F) (states/eV per cell): 6.52

# TbZrZnNi, relaxed, DFT PBE-GGA
data_TbZrZnNi
_space_group_name_H-M_alt 'F -4 3 m'
_space_group_IT_number 216
_space_group_name_Hall 'F -4 2 3'
_cell_length_a 6.766
_cell_length_b 6.766
_cell_length_c 6.766
_cell_angle_alpha 90.00
_cell_angle_beta 90.00
_cell_angle_gamma 90.00
loop_
_atom_site_label
_atom_site_fract_x
_atom_site_fract_y
_atom_site_fract_z
Tb1 0.000 0.000 0.000
Zr1 0.000 0.000 0.500
Zn1 0.250 0.250 0.750
Ni1 0.250 0.250 0.250
# Volume (A^3/atom): 19.4
# Total magnetic moment (μB per atom): 0.001
# Calculated formation energy (eV/atom): -0.219
# D(E_F) (states/eV per cell): 18.59

Which value of volume does entry 2 give?
36.2 A^3/atom